Record 1
Material: Sr2SbRh
Method: DFT, GGA-PBEsol
State: optimized geometry

spin magnetization = 0.0 Bohr magnetons per cell
uncorrected formation energy = -0.587 eV per atom

a = 8.439 Å, b = 8.439 Å, c = 8.439 Å
α = 31.07°, β = 31.07°, γ = 31.07°
Fractional positions:
1 Sr 0.000 0.000 0.000
2 Sr 0.165 0.165 0.165
3 Sb 0.416 0.416 0.416
4 Rh 0.750 0.750 0.750



Record 2
Material: SmGe2Pt2
Method: DFT, GGA-PBEsol
State: optimized geometry

spin magnetization = 0.0 Bohr magnetons per cell
DFT formation energy = -0.941 eV/atom

a = 4.294 Å, b = 4.294 Å, c = 9.977 Å
α = 90.00°, β = 90.00°, γ = 90.00°
Fractional positions:
1 Sm 0.250 0.250 0.248
2 Sm 0.750 0.750 0.752
3 Ge 0.250 0.250 0.632
4 Ge 0.250 0.750 0.000
5 Ge 0.750 0.250 0.000
6 Ge 0.750 0.750 0.368
7 Pt 0.250 0.250 0.875
8 Pt 0.250 0.750 0.500
9 Pt 0.750 0.250 0.500
10 Pt 0.750 0.750 0.125



Record 3
Material: NaInIrN2
Method: DFT, GGA-PBEsol
State: optimized geometry

spin magnetization = 3.5 Bohr magnetons per cell
uncorrected formation energy = 1.945 eV per atom

a = 4.275 Å, b = 4.275 Å, c = 5.111 Å
α = 90.00°, β = 90.00°, γ = 90.00°
Fractional positions:
1 Na 0.000 0.000 0.000
2 In 0.500 0.500 0.500
3 Ir 0.500 0.500 0.000
4 N 0.000 0.500 0.500
5 N 0.500 0.000 0.500